# UFeI6

A geometry-optimized UFeI6 structure (PBE, Alexandria via LeMat-Bulk).

Structure (POSCAR):
```
UFeI6
1.0
7.870 -0.865 -0.862
-3.210 7.237 -0.862
0.797 1.090 6.697
U Fe I
1 1 6
Cartesian
0.398 0.545 3.349
0.000 0.000 0.000
-0.692 7.218 0.465
7.088 1.528 0.465
-1.632 5.933 4.508
6.149 0.243 4.508
1.977 2.703 4.671
3.480 4.759 0.302
```

Properties
Formation energy (no corrections): -450 kJ/mol of formula units
Electronic total energy: -4.214 eV/atom

# VFe3I9

A geometry-optimized VFe3I9 structure (PBE, Alexandria via LeMat-Bulk).

Structure (POSCAR):
```
VFe3I9
1.0
-2.066 -5.874 7.827
8.289 -5.482 4.463
1.765 5.262 10.806
V Fe I
2 6 18
Cartesian
4.110 -2.849 2.478
-0.076 -0.105 9.150
4.204 -4.242 16.178
-1.120 -4.976 9.669
9.278 -0.823 13.140
3.775 -2.066 7.308
2.149 -0.863 13.411
5.641 -5.582 9.370
1.342 -1.212 6.963
6.734 -0.285 13.216
3.317 1.369 14.086
6.386 -4.553 11.648
1.585 2.159 8.993
5.029 -2.695 5.131
4.743 -7.998 9.689
2.017 -1.100 10.828
6.754 -7.880 14.391
3.282 -3.105 18.356
6.735 -4.021 15.554
0.940 -6.096 10.831
3.481 -4.366 8.518
7.893 -6.228 18.485
2.903 -3.301 14.107
7.147 -5.881 7.216
-0.990 -5.207 7.052
5.599 -0.876 8.770
```

Properties
Formation energy (no corrections): -160 kJ/mol of formula units
Electronic total energy: -3.855 eV/atom

# VFeI

A geometry-optimized VFeI structure (PBE, Alexandria via LeMat-Bulk).

Structure (POSCAR):
```
VFeI
1.0
-0.546 3.131 1.918
2.064 -3.220 2.241
7.359 3.775 -4.013
I V Fe
2 2 2
Cartesian
2.807 -0.529 1.679
6.070 4.214 -1.532
3.416 2.809 0.001
5.461 0.876 0.146
4.879 1.899 -1.682
3.998 1.787 1.828
```

Properties
Formation energy (no corrections): 39 kJ/mol of formula units
Electronic total energy: -6.243 eV/atom

# VFe2I8

A geometry-optimized VFe2I8 structure (PBE, Alexandria via LeMat-Bulk).

Structure (POSCAR):
```
VFe2I8
1.0
-6.067 -2.668 1.448
3.258 -7.786 1.043
1.459 0.282 8.374
V Fe I
1 2 8
Cartesian
0.000 0.000 0.000
-0.042 -7.782 8.555
-1.307 -2.390 2.309
0.861 -2.437 8.200
-3.358 -2.592 7.336
2.314 -6.807 8.061
-3.663 -3.364 2.804
2.008 -7.579 3.529
-2.211 -7.734 2.664
-1.592 -6.666 6.947
0.242 -3.505 3.918
```

Properties
Formation energy (no corrections): -249 kJ/mol of formula units
Electronic total energy: -3.730 eV/atom

# VFeI5

A geometry-optimized VFeI5 structure (PBE, Alexandria via LeMat-Bulk).

Structure (POSCAR):
```
VFeI5
1.0
-5.381 2.304 4.519
0.012 -6.021 4.294
3.772 2.157 10.578
V Fe I
2 2 10
Cartesian
0.000 0.000 0.000
1.886 1.079 5.289
-0.871 1.326 12.382
-0.727 -2.886 7.009
1.636 0.700 11.638
0.328 -2.677 9.549
-0.290 -0.315 6.351
-2.383 3.660 12.445
-1.411 -3.666 4.452
-0.186 2.106 14.939
0.785 -5.220 6.945
-1.307 -1.245 13.040
-1.926 1.117 9.841
-3.234 -2.260 7.753
```

Properties
Formation energy (no corrections): -122 kJ/mol of formula units
Electronic total energy: -3.799 eV/atom

# VFeI2

A geometry-optimized VFeI2 structure (PBE, Alexandria via LeMat-Bulk).

Structure (POSCAR):
```
VFeI2
1.0
0.000 3.544 3.544
3.544 0.000 3.544
3.544 3.544 0.000
I Fe V
2 1 1
Cartesian
1.772 1.772 1.772
5.317 5.317 5.317
3.544 3.544 3.544
0.000 0.000 0.000
```

Properties
Formation energy (no corrections): 302 kJ/mol of formula units
Electronic total energy: -4.388 eV/atom

# VFeI2

A geometry-optimized VFeI2 structure (PBE, Alexandria via LeMat-Bulk).

Structure (POSCAR):
```
VFeI2
1.0
6.238 0.000 0.000
0.000 6.238 0.000
3.119 3.119 6.078
I Fe V
4 2 2
Cartesian
4.803 1.560 1.519
1.435 4.679 1.519
4.679 4.555 4.558
7.798 7.922 4.558
0.000 0.000 0.000
6.238 3.119 3.039
3.119 3.119 0.000
3.119 6.238 3.039
```

Properties
Formation energy (no corrections): 236 kJ/mol of formula units
Electronic total energy: -4.559 eV/atom

# VFe2I8

A geometry-optimized VFe2I8 structure (PBE, Alexandria via LeMat-Bulk).

Structure (POSCAR):
```
VFe2I8
1.0
-2.575 6.794 0.449
-3.546 -1.591 -7.657
-7.624 -3.728 1.303
V Fe I
1 2 8
Cartesian
0.000 0.000 0.000
-11.193 1.419 -4.756
-2.552 0.056 -1.148
-5.899 -0.862 -6.324
-8.372 -2.159 -0.892
-7.846 2.337 0.420
-4.819 0.124 -2.164
-5.374 3.634 -5.012
-9.856 -3.116 -5.229
-3.890 4.591 -0.675
-8.926 1.351 -3.740
```

Properties
Formation energy (no corrections): -274 kJ/mol of formula units
Electronic total energy: -3.753 eV/atom

# V2FeI8

A geometry-optimized V2FeI8 structure (PBE, Alexandria via LeMat-Bulk).

Structure (POSCAR):
```
V2FeI8
1.0
8.541 0.000 0.000
-4.271 7.056 -0.678
0.000 0.863 7.869
V Fe I
2 1 8
Cartesian
4.271 5.934 4.778
0.000 1.985 2.412
0.000 0.000 0.000
6.511 1.747 0.771
2.030 1.747 0.771
-2.241 6.171 6.419
0.000 4.584 2.554
2.241 6.171 6.419
4.271 6.106 2.061
0.000 1.813 5.129
4.271 3.335 4.636
```

Properties
Formation energy (no corrections): -244 kJ/mol of formula units
Electronic total energy: -3.784 eV/atom

# VFeI6

A geometry-optimized VFeI6 structure (PBE, Alexandria via LeMat-Bulk).

Structure (POSCAR):
```
VFeI6
1.0
8.517 -0.059 -2.973
-4.251 7.372 -2.993
0.030 0.034 9.053
V Fe I
2 2 12
Cartesian
0.015 0.017 4.526
2.148 3.674 1.543
-2.126 3.686 -1.497
4.258 -0.029 -1.487
-1.331 5.103 5.303
5.626 2.244 -2.216
4.084 5.046 0.115
0.211 2.301 2.971
6.698 1.286 3.124
-2.403 6.061 -0.038
0.909 6.022 2.282
3.386 1.325 0.805
2.201 6.408 -3.005
2.094 0.939 6.091
3.728 3.740 3.806
0.567 3.607 -0.720
```

Properties
Formation energy (no corrections): -120 kJ/mol of formula units
Electronic total energy: -3.516 eV/atom

# Fe3WI

A geometry-optimized Fe3WI structure (PBE, Alexandria via LeMat-Bulk).

Structure (POSCAR):
```
Fe3WI
1.0
-1.593 3.469 2.273
-4.005 -1.920 0.124
1.079 -2.004 3.816
I Fe W
1 3 1
Cartesian
0.000 0.000 0.000
-2.002 -0.960 0.062
0.539 -1.002 1.908
-0.797 1.735 1.136
-2.259 -0.228 3.106
```

Properties
Formation energy (no corrections): 1138 kJ/mol of formula units
Electronic total energy: -5.620 eV/atom

# FeWI3

A geometry-optimized FeWI3 structure (PBE, Alexandria via LeMat-Bulk).

Structure (POSCAR):
```
FeWI3
1.0
-0.769 5.425 -0.250
-1.754 -0.009 5.197
5.140 0.808 1.737
I Fe W
3 1 1
Cartesian
-0.877 -0.005 2.599
2.570 0.404 0.868
-0.384 2.713 -0.125
1.308 3.112 3.342
0.000 0.000 0.000
```

Properties
Formation energy (no corrections): 609 kJ/mol of formula units
Electronic total energy: -3.952 eV/atom